Record 1
Computed, not measured: an optimized crystal structure of YAl2Os at the PBE level of DFT.

- E_form (meV/atom) = -169
- symmetry = No. 6

a b c (Å): 3.191 4.247 5.481
angles (deg): 90.00 101.55 90.00
Fractional coordinates of all 4 atoms:
1 Y 0.000 0.000 0.000
2 Al 0.592 0.000 0.509
3 Al 0.592 0.500 0.255
4 Os 0.237 0.500 0.649

Record 2
Computed, not measured: an optimized crystal structure of RhSeCl2 at the PBE level of DFT.

- formation energy from raw total energies (eV/atom) = 0.749
- symmetry = No. 65

a b c (Å): 5.002 5.002 3.060
angles (deg): 90.00 90.00 103.07
Fractional coordinates of all 4 atoms:
1 Rh 0.000 0.000 0.000
2 Se 0.500 0.500 0.000
3 Cl 0.000 0.500 0.500
4 Cl 0.500 0.000 0.500

Record 3
Computed, not measured: an optimized crystal structure of Ac5Sb2IrN at the PBE level of DFT.

- formation energy from raw total energies (eV/atom) = -0.939
- symmetry = No. 36

a b c (Å): 10.401 10.401 13.307
angles (deg): 90.00 90.00 154.90
Fractional coordinates of all 18 atoms:
1 Ac 0.004 0.996 0.500
2 Ac 0.149 0.851 0.210
3 Ac 0.181 0.819 0.596
4 Ac 0.221 0.779 0.886
5 Ac 0.444 0.556 0.242
6 Ac 0.556 0.444 0.742
7 Ac 0.779 0.221 0.386
8 Ac 0.819 0.181 0.096
9 Ac 0.851 0.149 0.710
10 Ac 0.996 0.004 0.000
11 Sb 0.382 0.618 0.517
12 Sb 0.396 0.604 0.892
13 Sb 0.604 0.396 0.392
14 Sb 0.618 0.382 0.017
15 Ir 0.291 0.709 0.240
16 Ir 0.709 0.291 0.740
17 N 0.059 0.941 0.656
18 N 0.941 0.059 0.156

Record 4
Computed, not measured: an optimized crystal structure of SnOsPdRh2 at the PBE level of DFT.

- E_form (meV/atom) = 1603
- symmetry = No. 123

a b c (Å): 4.798 4.798 4.626
angles (deg): 90.00 90.00 90.00
Fractional coordinates of all 5 atoms:
1 Sn 0.000 0.000 0.000
2 Os 0.500 0.500 0.000
3 Pd 0.500 0.500 0.500
4 Rh 0.000 0.500 0.500
5 Rh 0.500 0.000 0.500

Record 5
Computed, not measured: an optimized crystal structure of La4Pm2Dy at the PBE level of DFT.

- E_form (meV/atom) = 83
- symmetry = No. 1

a b c (Å): 6.608 8.896 9.600
angles (deg): 62.95 87.86 85.42
Fractional coordinates of all 14 atoms:
1 La 0.000 0.000 0.000
2 La 0.007 0.821 0.410
3 La 0.074 0.423 0.750
4 La 0.318 0.688 0.967
5 La 0.502 0.910 0.185
6 La 0.544 0.188 0.759
7 La 0.666 0.121 0.423
8 La 0.833 0.550 0.249
9 Pm 0.159 0.254 0.179
10 Pm 0.167 0.062 0.600
11 Pm 0.505 0.672 0.603
12 Pm 0.661 0.351 0.013
13 Dy 0.330 0.478 0.384
14 Dy 0.818 0.775 0.809

Record 6
Computed, not measured: an optimized crystal structure of Pm3Pb2Se at the PBE level of DFT.

- formation energy from raw total energies (eV/atom) = -0.808
- symmetry = No. 63

a b c (Å): 7.365 7.365 7.239
angles (deg): 90.00 90.00 76.98
Fractional coordinates of all 12 atoms:
1 Pm 0.114 0.886 0.750
2 Pm 0.313 0.313 0.000
3 Pm 0.313 0.313 0.500
4 Pm 0.687 0.687 0.000
5 Pm 0.687 0.687 0.500
6 Pm 0.886 0.114 0.250
7 Pb 0.059 0.661 0.250
8 Pb 0.339 0.941 0.250
9 Pb 0.661 0.059 0.750
10 Pb 0.941 0.339 0.750
11 Se 0.421 0.579 0.750
12 Se 0.579 0.421 0.250

Record 7
Computed, not measured: an optimized crystal structure of PmReIr at the PBE level of DFT.

- E_form (meV/atom) = -118
- symmetry = No. 189

a b c (Å): 6.710 6.710 4.625
angles (deg): 90.00 90.00 120.00
Fractional coordinates of all 9 atoms:
1 Pm 0.000 0.422 0.000
2 Pm 0.422 0.000 0.000
3 Pm 0.578 0.578 0.000
4 Re 0.000 0.772 0.500
5 Re 0.228 0.228 0.500
6 Re 0.772 0.000 0.500
7 Ir 0.000 0.000 0.000
8 Ir 0.333 0.667 0.500
9 Ir 0.667 0.333 0.500

Record 8
Computed, not measured: an optimized crystal structure of HoTm3Zn4 at the PBE level of DFT.

- E_form (meV/atom) = -351
- symmetry = No. 123

a b c (Å): 4.979 4.979 7.091
angles (deg): 90.00 90.00 90.00
Fractional coordinates of all 8 atoms:
1 Ho 0.000 0.000 0.000
2 Tm 0.000 0.000 0.500
3 Tm 0.500 0.500 0.000
4 Tm 0.500 0.500 0.500
5 Zn 0.000 0.500 0.253
6 Zn 0.000 0.500 0.747
7 Zn 0.500 0.000 0.253
8 Zn 0.500 0.000 0.747

| no. | VASP energy (eV/atom) | mass density (g/cm3) |
| --- | --- | --- |
| 1 | -6.46 | 7.60 |
| 2 | -2.88 | 5.63 |
| 3 | -6.05 | 8.62 |
| 4 | -5.42 | 9.68 |
| 5 | -4.75 | 6.68 |
| 6 | -5.00 | 8.06 |
| 7 | -8.80 | 14.46 |
| 8 | -3.24 | 8.82 |